Computed, not measured: a relaxed structure of NpPaGe6 at the GGA-PBE level of DFT.

Summary:
- Energy relative to the elements: -356 meV/atom

```
8
Lattice="4.262 0.000 0.000 0.000 4.262 0.000 0.000 0.000 8.448" Properties=species:S:1:pos:R:3 pbc="T T T"
Np 0.000 0.000 0.000
Pa 0.000 0.000 4.224
Ge 0.000 2.131 2.083
Ge 0.000 2.131 6.364
Ge 2.131 0.000 2.083
Ge 2.131 0.000 6.364
Ge 2.131 2.131 0.000
Ge 2.131 2.131 4.224
```

Computed, not measured: a relaxed structure of La2Tb6Pr3Nd at the GGA-PBE level of DFT.

Summary:
- Energy relative to the elements: 11 meV/atom

```
12
Lattice="3.166 -5.485 0.000 3.166 5.485 0.000 -2.106 0.000 11.756" Properties=species:S:1:pos:R:3 pbc="T T T"
La 3.166 3.658 0.000
La 3.166 -3.658 0.000
Tb 0.005 1.825 8.810
Tb 1.060 0.000 2.946
Tb 0.005 -1.825 8.810
Tb 4.219 1.825 2.946
Tb 3.164 0.000 8.810
Tb 4.219 -1.825 2.946
Pr -1.053 0.000 5.878
Pr 2.112 1.827 5.878
Pr 2.112 -1.827 5.878
Nd 3.166 0.000 0.000
```

Number 1: V 153.5 Å³ per cell. Number 2: V 408.2 Å³ per cell.